No. 1
# CrOs2N

Crystalline CrOs2N at its relaxed geometry (PBE, Alexandria).

Results
DOS at the Fermi energy   6.72 states/eV/cell
Total DFT energy (no corrections)   -37.5 eV per formula unit
Formation energy from raw total energies   0.74 eV per atom
Volume   59.7 Å³/f.u.
Total magnetic moment   0.00 Bohr magnetons per cell

Structure (extended XYZ):
```
8
Lattice="4.9737 0.0000 0.0000 0.0000 4.9737 0.0000 2.4869 2.4869 4.8281" Properties=species:S:1:pos:R:3 pbc="T T T"
Cr 0.0000 0.0000 0.0000
Cr 4.9737 2.4869 2.4141
Os 3.4258 1.2434 1.2070
Os 1.5479 3.7303 1.2070
Os 3.7303 4.0348 3.6211
Os 6.2172 5.9127 3.6211
N 2.4869 2.4869 0.0000
N 2.4869 4.9737 2.4141
```

No. 2
# Pm2CrOsN5

Crystalline Pm2CrOsN5 at its relaxed geometry (PBE, Alexandria).

Results
DOS at the Fermi energy   7.45 states/eV/cell
Total DFT energy (no corrections)   -77.3 eV per formula unit
Formation energy from raw total energies   -0.59 eV per atom
Volume   112.5 Å³/f.u.
Total magnetic moment   2.25 Bohr magnetons per cell

Structure (extended XYZ):
```
18
Lattice="-1.0256 0.7006 -3.0170 5.6925 -4.4540 -1.2053 -5.9133 -7.6226 0.2400" Properties=species:S:1:pos:R:3 pbc="T T T"
Pm -1.3124 -8.8725 -3.3785
Pm -2.7506 -6.3049 -0.5291
Pm -0.5353 -3.2785 -0.5794
Pm 2.2215 -4.1463 -3.4823
Cr -0.6051 -5.7686 -2.8981
Cr 2.2786 -1.8434 -1.2027
Os -5.5205 -7.6935 -1.6742
Os 1.6021 -7.1268 -2.1997
N -2.3323 -10.4206 -1.6271
N -3.6107 -7.8700 -2.3644
N -5.1262 -5.8520 -1.3806
N -0.5539 -7.3127 -1.5099
N 1.0685 -7.7928 -3.9372
N -1.8333 -4.7182 -2.2367
N 0.9766 -5.2947 -1.5616
N 3.2775 -6.3003 -2.5773
N 0.7287 -2.2311 -2.5301
N -0.0661 -0.6842 -0.1364
```

No. 3
# Cr2OsPtN

Crystalline Cr2OsPtN at its relaxed geometry (PBE, Alexandria).

Results
DOS at the Fermi energy   5.08 states/eV/cell
Total DFT energy (no corrections)   -45.3 eV per formula unit
Formation energy from raw total energies   -0.08 eV per atom
Volume   60.0 Å³/f.u.
Total magnetic moment   0.56 Bohr magnetons per cell

Structure (extended XYZ):
```
5
Lattice="-3.1997 -1.9431 1.0434 2.0112 -1.8161 2.7856 -0.9248 2.8947 2.5549" Properties=species:S:1:pos:R:3 pbc="T T T"
Cr 1.0056 -0.9080 1.3928
Cr -1.5999 -0.9716 0.5217
Os -0.4624 1.4474 1.2775
Pt -1.0566 -0.4322 3.1920
N 0.0000 0.0000 0.0000
```

No. 4
# CrOsSN2

Crystalline CrOsSN2 at its relaxed geometry (PBE, Alexandria).

Results
DOS at the Fermi energy   4.88 states/eV/cell
Total DFT energy (no corrections)   -35.8 eV per formula unit
Formation energy from raw total energies   1.17 eV per atom
Volume   63.8 Å³/f.u.
Total magnetic moment   2.40 Bohr magnetons per cell
ΔE to the lowest computed polymorph   2.839 eV per formula unit

Structure (extended XYZ):
```
5
Lattice="3.6143 0.0000 0.0000 0.0000 3.6143 0.0000 0.0000 0.0000 4.8838" Properties=species:S:1:pos:R:3 pbc="T T T"
Cr 0.0000 0.0000 0.0000
S 0.0000 0.0000 2.4419
Os 1.8072 1.8072 2.4419
N 0.0000 1.8072 0.0000
N 1.8072 0.0000 0.0000
```

No. 5
# CrOsSN2

Crystalline CrOsSN2 at its relaxed geometry (PBE, Alexandria).

Results
DOS at the Fermi energy   3.62 states/eV/cell
Total DFT energy (no corrections)   -38.6 eV per formula unit
Formation energy from raw total energies   0.60 eV per atom
Volume   74.2 Å³/f.u.
Total magnetic moment   4.01 Bohr magnetons per cell
ΔE to the lowest computed polymorph   0.000 eV per formula unit

Structure (extended XYZ):
```
5
Lattice="3.7582 0.0000 0.0000 0.0000 3.7582 0.0000 0.0000 0.0000 5.2535" Properties=species:S:1:pos:R:3 pbc="T T T"
Cr 1.8791 1.8791 2.6268
S 0.0000 0.0000 2.6268
Os 0.0000 0.0000 0.0000
N 0.0000 1.8791 0.0000
N 1.8791 0.0000 0.0000
```

No. 6
# CrOsSeN2

Crystalline CrOsSeN2 at its relaxed geometry (PBE, Alexandria).

Results
DOS at the Fermi energy   3.27 states/eV/cell
Total DFT energy (no corrections)   -38.0 eV per formula unit
Formation energy from raw total energies   0.60 eV per atom
Volume   79.3 Å³/f.u.
Total magnetic moment   4.04 Bohr magnetons per cell
ΔE to the lowest computed polymorph   0.000 eV per formula unit

Structure (extended XYZ):
```
5
Lattice="3.7792 0.0000 0.0000 0.0000 3.7792 0.0000 0.0000 0.0000 5.5501" Properties=species:S:1:pos:R:3 pbc="T T T"
Cr 1.8896 1.8896 2.7750
Os 0.0000 0.0000 0.0000
Se 0.0000 0.0000 2.7750
N 0.0000 1.8896 0.0000
N 1.8896 0.0000 0.0000
```

No. 7
# CrOsSeN2

Crystalline CrOsSeN2 at its relaxed geometry (PBE, Alexandria).

Results
DOS at the Fermi energy   6.23 states/eV/cell
Total DFT energy (no corrections)   -35.0 eV per formula unit
Formation energy from raw total energies   1.20 eV per atom
Volume   71.2 Å³/f.u.
Total magnetic moment   2.50 Bohr magnetons per cell
ΔE to the lowest computed polymorph   3.006 eV per formula unit

Structure (extended XYZ):
```
5
Lattice="3.6426 0.0000 0.0000 0.0000 3.6426 0.0000 0.0000 0.0000 5.3676" Properties=species:S:1:pos:R:3 pbc="T T T"
Cr 0.0000 0.0000 0.0000
Os 1.8213 1.8213 2.6838
Se 0.0000 0.0000 2.6838
N 0.0000 1.8213 0.0000
N 1.8213 0.0000 0.0000
```

No. 8
# SrCrOsN2

Crystalline SrCrOsN2 at its relaxed geometry (PBE, Alexandria).

Results
DOS at the Fermi energy   6.82 states/eV/cell
Total DFT energy (no corrections)   -22.6 eV per formula unit
Formation energy from raw total energies   3.31 eV per atom
Volume   105.1 Å³/f.u.
Total magnetic moment   4.88 Bohr magnetons per cell

Structure (extended XYZ):
```
5
Lattice="4.1622 0.0000 0.0000 0.0000 6.0680 0.0000 0.0000 0.0000 4.1622" Properties=species:S:1:pos:R:3 pbc="T T T"
Sr 0.0000 0.0000 0.0000
N 0.0000 0.0000 2.0811
N 2.0811 0.0000 0.0000
Os 2.0811 3.0340 2.0811
Cr 0.0000 3.0340 0.0000
```